## A
Entry from the Alexandria database: a geometry-optimized ReTcS2N structure (PBE).

Lattice parameters (Å, degrees): 4.7710 4.7710 3.6690 90.00 90.00 90.00
Last column: nearest neighbours and their distance in Å.
Element x y z (fractional)
Re 0.0000 0.0000 0.0000  8 S 3.01
Tc 0.5000 0.5000 0.5000  2 N 1.83
S 0.0000 0.5000 0.5000  2 Tc 2.39
S 0.5000 0.0000 0.5000  2 Tc 2.39
N 0.5000 0.5000 0.0000  2 Tc 1.83

Summary:
For the spin magnetization, the calculation gives 3.58 μB per formula unit. Its calculated density is 7.205 g/cm3.


## B
Entry from the Alexandria database: a geometry-optimized ReTcS2N structure (PBE).

Lattice parameters (Å, degrees): 4.8035 4.8035 3.7295 90.00 90.00 90.00
Last column: nearest neighbours and their distance in Å.
Element x y z (fractional)
Re 0.0000 0.0000 0.0000  2 N 1.86
Tc 0.5000 0.5000 0.5000  8 S 3.04, 4 N 3.40
S 0.0000 0.5000 0.0000  2 Re 2.40
S 0.5000 0.0000 0.0000  2 Re 2.40
N 0.0000 0.0000 0.5000  2 Re 1.86

Summary:
For the spin magnetization, the calculation gives 3.77 μB per formula unit. Its calculated density is 6.992 g/cm3.


Of them, A has the lowest stability.


## A
Entry from the Alexandria database: a geometry-optimized ReTcSN2 structure (PBE).

Lattice parameters (Å, degrees): 3.8137 3.8137 5.1551 90.00 90.00 90.00
Last column: nearest neighbours and their distance in Å.
Element x y z (fractional)
Re 0.0000 0.0000 0.0000  4 N 1.91
Tc 0.5000 0.5000 0.5000  4 S 2.70
S 0.0000 0.0000 0.5000  2 Re 2.58, 4 Tc 2.70
N 0.0000 0.5000 0.0000  2 Re 1.91
N 0.5000 0.0000 0.0000  2 Re 1.91

Summary:
For the spin magnetization, the calculation gives 3.85 μB per formula unit. Its calculated density is 7.625 g/cm3.


## B
Entry from the Alexandria database: a geometry-optimized ReTcSN2 structure (PBE).

Lattice parameters (Å, degrees): 3.7858 3.7858 5.1771 90.00 90.00 90.00
Last column: nearest neighbours and their distance in Å.
Element x y z (fractional)
Re 0.0000 0.0000 0.0000  4 S 2.68
Tc 0.5000 0.5000 0.5000  4 N 1.89
S 0.5000 0.5000 0.0000  2 Tc 2.59, 4 Re 2.68
N 0.0000 0.5000 0.5000  2 Tc 1.89
N 0.5000 0.0000 0.5000  2 Tc 1.89

Summary:
For the spin magnetization, the calculation gives 3.73 μB per formula unit. Its calculated density is 7.705 g/cm3.


Of them, B has the lowest stability.